No. 1
Below is ScZnFe3 after structural relaxation, with properties calculated at the PBE-GGA level.

## Properties
The calculation puts the formation energy at 792 meV/atom. As for the total energy: -29.036 eV for the cell shown. The distance to the lowest polymorph of the same formula comes out at 0 meV per atom.

a = 4.433 Å, b = 4.433 Å, c = 4.433 Å
α = 90.00°, β = 90.00°, γ = 90.00°
Space group Pm-3m (No. 221)
Asymmetric unit:
1 Sc 0.000 0.000 0.000
2 Zn 0.500 0.500 0.500
3 Fe 0.000 0.500 0.500

No. 2
Below is ScZn6Fe6 after structural relaxation, with properties calculated at the PBE-GGA level.

## Properties
The calculation puts the formation energy at -43 meV/atom. As for the total energy: -130.627 eV for the cell shown.

a = 4.895 Å, b = 8.518 Å, c = 8.595 Å
α = 90.00°, β = 90.00°, γ = 90.00°
Space group Immm (No. 71)
Asymmetric unit:
1 Sc 0.000 0.000 0.000
2 Zn 0.000 0.000 0.336
3 Zn 0.000 0.303 0.500
4 Zn 0.000 0.347 0.000
5 Fe 0.000 0.500 0.273
6 Fe 0.250 0.250 0.250

No. 3
Below is Sc2Zn6Fe after structural relaxation, with properties calculated at the PBE-GGA level.

## Properties
The calculation puts the formation energy at -202 meV/atom. As for the total energy: -30.584 eV for the cell shown.

a = 5.4028 Å, b = 5.4028 Å, c = 5.7651 Å
α = 90.00°, β = 90.00°, γ = 120.00°
Space group P-3m1 (No. 164)
Asymmetric unit:
1 Sc 0.3333 0.6667 0.3730
2 Zn 0.1737 0.3474 0.8240
3 Fe 0.0000 0.0000 0.5000

No. 4
Below is ScZn2Fe2 after structural relaxation, with properties calculated at the PBE-GGA level.

## Properties
The calculation puts the formation energy at 41 meV/atom. As for the total energy: -51.196 eV for the cell shown.

a = 7.118 Å, b = 7.118 Å, c = 2.900 Å
α = 90.00°, β = 90.00°, γ = 90.00°
Space group P4/mbm (No. 127)
Asymmetric unit:
1 Sc 0.000 0.000 0.000
2 Zn 0.123 0.377 0.000
3 Fe 0.176 0.676 0.500

Copy entry 4 word for word.
Below is ScZn2Fe2 after structural relaxation, with properties calculated at the PBE-GGA level.

## Properties
The calculation puts the formation energy at 41 meV/atom. As for the total energy: -51.196 eV for the cell shown.

a = 7.118 Å, b = 7.118 Å, c = 2.900 Å
α = 90.00°, β = 90.00°, γ = 90.00°
Space group P4/mbm (No. 127)
Asymmetric unit:
1 Sc 0.000 0.000 0.000
2 Zn 0.123 0.377 0.000
3 Fe 0.176 0.676 0.500